No. 1
A relaxed structure of BaLa2Ru. Source: the Alexandria database, functional GGA-PBE.

Geometry as POSCAR:
```
BaLa2Ru
1.0
-3.2241 5.2637 2.0156
-3.4267 -0.0778 5.5150
5.9068 -1.6312 -2.1478
Ba La Ru
1 2 1
direct
0.7500 0.2500 0.5000
0.2500 0.7500 0.5000
0.0000 0.0000 0.0000
0.5000 0.5000 0.0000
```

Results
- Calculated volume: 115.38 Å³ per cell
- DOS at the Fermi energy: 1.067 states/eV per atom
- Total magnetic moment: 0.00 μB/f.u.
- E: -4.875 eV/atom

=====

No. 2
A relaxed structure of TmThZr2. Source: the Alexandria database, functional GGA-PBE.

Geometry as POSCAR:
```
TmThZr2
1.0
-1.3151 -1.5531 2.7167
1.9758 -1.9285 1.9746
2.5720 7.4613 7.6312
Zr Th Tm
2 1 1
direct
0.2506 0.2506 0.2483
0.7494 0.7494 0.7517
0.0000 0.0000 0.0000
0.5000 0.5000 0.5000
```

Results
- Calculated volume: 107.79 Å³ per cell
- DOS at the Fermi energy: 1.407 states/eV per atom
- Total magnetic moment: 0.00 μB/f.u.
- E: -7.117 eV/atom

=====

No. 3
A relaxed structure of MnIrSe2. Source: the Alexandria database, functional GGA-PBE.

Geometry as POSCAR:
```
MnIrSe2
1.0
-3.0316 -0.4111 1.5631
-0.5675 -2.8402 -1.8477
2.9366 -3.6649 4.7316
Ir Se Mn
1 2 1
direct
0.0000 0.0000 0.5172
0.5000 0.5000 0.3691
0.0000 0.0000 0.8827
0.5000 0.5000 0.7310
```

Results
- Calculated volume: 78.69 Å³ per cell
- ΔE_f (raw): -0.082 eV per atom
- DOS at the Fermi energy: 0.713 states/eV per atom
- Total magnetic moment: 2.99 μB/f.u.